[1]
The following is a DFT calculation (PBE) of a geometry-optimized Pm2CuAs3Pd4 structure.

Output
- magnetization (μB per atom) = 0.000
- theoretical density (Mg/m³) = 8.80
- total DFT energy (no corrections) (eV per atom) = -5.634
- formation energy from the elements (meV per atom) = -802

```
data_Pm2CuAs3Pd4
_chemical_formula_sum 'Pm2 Cu1 As3 Pd4'
_symmetry_space_group_name_H-M 'P -4 m 2'
_symmetry_Int_Tables_number 115
_cell_length_a 4.3239
_cell_length_b 4.3239
_cell_length_c 10.1326
_cell_angle_alpha 90.00
_cell_angle_beta 90.00
_cell_angle_gamma 90.00
loop_
_symmetry_equiv_pos_as_xyz
'x,y,z'
'y,-x,-z'
'-x,-y,z'
'-y,x,-z'
'-x,y,z'
'-y,-x,-z'
'x,-y,z'
'y,x,-z'
loop_
_atom_site_label
_atom_site_type_symbol
_atom_site_fract_x
_atom_site_fract_y
_atom_site_fract_z
Pm1 Pm 0.0000 0.5000 0.2475
Cu1 Cu 0.0000 0.0000 0.5000
As1 As 0.0000 0.5000 0.8616
As2 As 0.5000 0.5000 0.5000
Pd1 Pd 0.0000 0.0000 0.0000
Pd2 Pd 0.0000 0.5000 0.6218
Pd3 Pd 0.5000 0.5000 0.0000
```

---

[2]
The following is a DFT calculation (PBE) of a geometry-optimized Nd2Zn9Ag structure.

Output
- magnetization (μB per atom) = 0.000
- theoretical density (Mg/m³) = 7.24
- total DFT energy (no corrections) (eV per atom) = -2.087
- formation energy from the elements (meV per atom) = -99

```
data_Nd2Zn9Ag
_chemical_formula_sum 'Nd6 Zn27 Ag3'
_symmetry_space_group_name_H-M 'R -3 m'
_symmetry_Int_Tables_number 166
_symmetry_space_group_name_Hall '-R 3 2"'
_cell_length_a 5.4988
_cell_length_b 5.4988
_cell_length_c 25.8830
_cell_angle_alpha 90.00
_cell_angle_beta 90.00
_cell_angle_gamma 120.00
loop_
_atom_site_label
_atom_site_type_symbol
_atom_site_fract_x
_atom_site_fract_y
_atom_site_fract_z
Nd1 Nd 0.0000 0.0000 0.1395
Zn1 Zn 0.0000 0.0000 0.3345
Zn2 Zn 0.0000 0.0000 0.5000
Zn3 Zn 0.0028 0.5014 0.9187
Ag1 Ag 0.0000 0.0000 0.0000
```

---

[3]
The following is a DFT calculation (PBE) of a geometry-optimized MnZn2HRu structure.

Output
- magnetization (μB per atom) = 0.762
- theoretical density (Mg/m³) = 8.28
- total DFT energy (no corrections) (eV per atom) = -4.764

```
data_MnZn2HRu
_chemical_formula_sum 'Mn1 Zn2 H1 Ru1'
_symmetry_space_group_name_H-M 'P 4/m m m'
_symmetry_Int_Tables_number 123
_symmetry_space_group_name_Hall '-P 4 2'
_cell_length_a 4.1132
_cell_length_b 4.1132
_cell_length_c 3.4138
_cell_angle_alpha 90.00
_cell_angle_beta 90.00
_cell_angle_gamma 90.00
loop_
_atom_site_label
_atom_site_type_symbol
_atom_site_fract_x
_atom_site_fract_y
_atom_site_fract_z
Mn1 Mn 0.0000 0.0000 0.0000
Zn1 Zn 0.0000 0.5000 0.5000
H1 H 0.0000 0.0000 0.5000
Ru1 Ru 0.5000 0.5000 0.0000
```

---

[4]
The following is a DFT calculation (PBE) of a geometry-optimized Y2GaPdO structure.

Output
- magnetization (μB per atom) = 0.000
- theoretical density (Mg/m³) = 4.75
- total DFT energy (no corrections) (eV per atom) = -5.222

```
data_Y2GaPdO
_chemical_formula_sum 'Y2 Ga1 Pd1 O1'
_symmetry_space_group_name_H-M 'P 4/m m m'
_symmetry_Int_Tables_number 123
_symmetry_space_group_name_Hall '-P 4 2'
_cell_length_a 5.3820
_cell_length_b 5.3820
_cell_length_c 4.4669
_cell_angle_alpha 90.00
_cell_angle_beta 90.00
_cell_angle_gamma 90.00
loop_
_atom_site_label
_atom_site_type_symbol
_atom_site_fract_x
_atom_site_fract_y
_atom_site_fract_z
Y1 Y 0.0000 0.5000 0.0000
Ga1 Ga 0.0000 0.0000 0.0000
Pd1 Pd 0.0000 0.0000 0.5000
O1 O 0.5000 0.5000 0.5000
```

---

[5]
The following is a DFT calculation (PBE) of a geometry-optimized PuCd5Pd4 structure.

Output
- magnetization (μB per atom) = 0.619
- theoretical density (Mg/m³) = 10.83
- total DFT energy (no corrections) (eV per atom) = -4.299
- formation energy from the elements (meV per atom) = -331

```
data_PuCd5Pd4
_chemical_formula_sum 'Pu1 Cd5 Pd4'
_symmetry_space_group_name_H-M 'P 4/m m m'
_symmetry_Int_Tables_number 123
_symmetry_space_group_name_Hall '-P 4 2'
_cell_length_a 3.0873
_cell_length_b 3.0873
_cell_length_c 19.8104
_cell_angle_alpha 90.00
_cell_angle_beta 90.00
_cell_angle_gamma 90.00
loop_
_atom_site_label
_atom_site_type_symbol
_atom_site_fract_x
_atom_site_fract_y
_atom_site_fract_z
Pu1 Pu 0.0000 0.0000 0.0000
Cd1 Cd 0.5000 0.5000 0.1287
Cd2 Cd 0.5000 0.5000 0.3142
Cd3 Cd 0.5000 0.5000 0.5000
Pd1 Pd 0.0000 0.0000 0.2218
Pd2 Pd 0.0000 0.0000 0.4073
```

---

[6]
The following is a DFT calculation (PBE) of a geometry-optimized Sm3Ho4Au4 structure.

Output
- magnetization (μB per atom) = 0.000
- theoretical density (Mg/m³) = 10.70
- total DFT energy (no corrections) (eV per atom) = -4.722
- formation energy from the elements (meV per atom) = -578

```
data_Sm3Ho4Au4
_chemical_formula_sum 'Sm6 Ho8 Au8'
_symmetry_space_group_name_H-M 'I m m m'
_symmetry_Int_Tables_number 71
_symmetry_space_group_name_Hall '-I 2 2'
_cell_length_a 4.8482
_cell_length_b 7.7305
_cell_length_c 15.7276
_cell_angle_alpha 90.00
_cell_angle_beta 90.00
_cell_angle_gamma 90.00
loop_
_atom_site_label
_atom_site_type_symbol
_atom_site_fract_x
_atom_site_fract_y
_atom_site_fract_z
Sm1 Sm 0.0000 0.0000 0.0000
Sm2 Sm 0.0000 0.5000 0.1030
Ho1 Ho 0.0000 0.2861 0.3272
Au1 Au 0.0000 0.0000 0.2062
Au2 Au 0.0000 0.1893 0.5000
```

---

Q: total DFT energy (no corrections) of number 1 (Pm2CuAs3Pd4)?
A: -5.634 eV per atom

---

Q: magnetization of number 5 (PuCd5Pd4)?
A: 0.619 μB per atom

---

Q: Which of these has the highest total DFT energy (no corrections)?
A: Nd2Zn9Ag